{
  "formula": "LiSbPb",
  "functional": "GGA-PBE",
  "state": "relaxed",
  "e_above_lowest_polymorph_ev_per_atom": 0.157,
  "cell": [[-1.6961, 2.1868, 5.2661], [1.6961, -2.1868, 5.2661], [1.6961, 2.1868, -5.2661]],
  "species": ["Li", "Sb", "Pb"],
  "fractional_positions": [[0.0000, 0.0000, 0.0000], [0.3886, 0.3886, 0.0000], [0.6922, 0.6922, 0.0000]]
}

=====

{
  "formula": "LiSb2Pb",
  "functional": "GGA-PBE",
  "state": "relaxed",
  "cell": [[0.0000, 3.7733, 3.7733], [3.7733, 0.0000, 3.7733], [3.7733, 3.7733, 0.0000]],
  "species": ["Li", "Sb", "Sb", "Pb"],
  "fractional_positions": [[0.0000, 0.0000, 0.0000], [0.2500, 0.2500, 0.2500], [0.5000, 0.5000, 0.5000], [0.7500, 0.7500, 0.7500]]
}

=====

{
  "formula": "LiSb4Pb",
  "functional": "GGA-PBE",
  "state": "relaxed",
  "cell": [[0.0000, 4.4615, 4.4615], [4.4615, 0.0000, 4.4615], [4.4615, 4.4615, 0.0000]],
  "species": ["Li", "Sb", "Sb", "Sb", "Sb", "Pb"],
  "fractional_positions": [[0.0000, 0.0000, 0.0000], [0.3749, 0.3749, 0.3749], [0.3749, 0.3749, 0.8753], [0.3749, 0.8753, 0.3749], [0.8753, 0.3749, 0.3749], [0.7500, 0.7500, 0.7500]]
}

=====

{
  "formula": "Li2SbPbSe4",
  "functional": "GGA-PBE",
  "state": "relaxed",
  "cell": [[7.0034, 0.0000, 0.0000], [0.0000, 4.0462, 0.0000], [-2.4007, 0.0000, 6.6593]],
  "species": ["Li", "Li", "Sb", "Pb", "Se", "Se", "Se", "Se"],
  "fractional_positions": [[0.0000, 0.0000, 0.0000], [0.0000, 0.5000, 0.5000], [0.5000, 0.0000, 0.5000], [0.5000, 0.5000, 0.0000], [0.2283, 0.0000, 0.7278], [0.2351, 0.5000, 0.2573], [0.7649, 0.5000, 0.7427], [0.7717, 0.0000, 0.2722]]
}

=====

{
  "formula": "LiSbPbSe3",
  "functional": "GGA-PBE",
  "state": "relaxed",
  "cell": [[8.7086, 0.0000, 0.0000], [0.0000, 4.1324, 0.0000], [-1.8558, 0.0000, 8.8177]],
  "species": ["Li", "Li", "Sb", "Sb", "Pb", "Pb", "Se", "Se", "Se", "Se", "Se", "Se"],
  "fractional_positions": [[0.0833, 0.2500, 0.0910], [0.9167, 0.7500, 0.9090], [0.3252, 0.7500, 0.3520], [0.6748, 0.2500, 0.6480], [0.1981, 0.2500, 0.7525], [0.8019, 0.7500, 0.2475], [0.1102, 0.2500, 0.3795], [0.2179, 0.7500, 0.0091], [0.4326, 0.7500, 0.6685], [0.5674, 0.2500, 0.3315], [0.7821, 0.2500, 0.9909], [0.8898, 0.7500, 0.6205]]
}

=====

{
  "formula": "LiSbPb2Se4",
  "functional": "GGA-PBE",
  "state": "relaxed",
  "cell": [[-4.2105, 4.2623, 5.9093], [4.2105, -4.2623, 5.9093], [4.2105, 4.2623, -5.9093]],
  "species": ["Li", "Li", "Sb", "Sb", "Pb", "Pb", "Pb", "Pb", "Se", "Se", "Se", "Se", "Se", "Se", "Se", "Se"],
  "fractional_positions": [[0.0000, 0.0000, 0.0000], [0.5000, 0.0000, 0.5000], [0.5000, 0.0000, 0.0000], [0.5000, 0.5000, 0.5000], [0.0000, 0.0000, 0.5000], [0.0000, 0.5000, 0.0000], [0.0000, 0.5000, 0.5000], [0.5000, 0.5000, 0.0000], [0.2512, 0.2379, 0.0134], [0.2571, 0.2416, 0.4845], [0.2571, 0.7726, 0.0155], [0.2755, 0.7621, 0.5134], [0.7245, 0.2379, 0.4866], [0.7429, 0.2274, 0.9845], [0.7429, 0.7584, 0.5155], [0.7488, 0.7621, 0.9866]]
}

=====

no.,raw formation energy (eV per atom)
1,-0.149
2,-0.001
3,0.101
4,-0.644
5,-0.562
6,-0.576